The following is a DFT calculation (PBE) of crystalline DyYLu at its relaxed geometry.

DFT formation energy ... 0.029 eV per atom

Cell lengths 7.904, 7.904, 7.904 Å; angles 154.26, 154.26, 36.72 degrees
Sites, in units of the cell vectors:
Dy1 0.000 0.000 0.000
Y1 0.669 0.669 0.000
Lu1 0.336 0.336 0.000

The following is a DFT calculation (PBE) of crystalline NdMgScRh at its relaxed geometry.

DFT formation energy ... -0.335 eV per atom

Cell lengths 5.005, 5.005, 5.005 Å; angles 60.00, 60.00, 60.00 degrees
Sites, in units of the cell vectors:
Nd1 0.000 0.000 0.000
Mg1 0.750 0.750 0.750
Sc1 0.500 0.500 0.500
Rh1 0.250 0.250 0.250

The following is a DFT calculation (PBE) of crystalline ZrPd2Pt6 at its relaxed geometry.

DFT formation energy ... -0.377 eV per atom

Cell lengths 7.046, 7.046, 3.978 Å; angles 98.05, 98.05, 127.11 degrees
Sites, in units of the cell vectors:
Zr1 0.000 0.000 0.000
Pd1 0.159 0.841 0.500
Pd2 0.841 0.159 0.500
Pt1 0.180 0.495 0.162
Pt2 0.328 0.328 0.662
Pt3 0.495 0.180 0.162
Pt4 0.505 0.820 0.838
Pt5 0.672 0.672 0.338
Pt6 0.820 0.505 0.838

The following is a DFT calculation (PBE) of crystalline Ho8As3Se3S at its relaxed geometry.

Uncorrected formation energy ... -1576 meV per atom

Cell lengths 8.063, 8.063, 8.063 Å; angles 60.12, 60.12, 60.12 degrees
Sites, in units of the cell vectors:
Ho1 0.238 0.756 0.756
Ho2 0.244 0.244 0.762
Ho3 0.244 0.762 0.244
Ho4 0.246 0.246 0.246
Ho5 0.754 0.754 0.754
Ho6 0.756 0.238 0.756
Ho7 0.756 0.756 0.238
Ho8 0.762 0.244 0.244
As1 0.000 0.000 0.500
As2 0.000 0.500 0.000
As3 0.500 0.000 0.000
Se1 0.000 0.500 0.500
Se2 0.500 0.000 0.500
Se3 0.500 0.500 0.000
S1 0.000 0.000 0.000

| no. | V (Å³ per atom) | total energy (eV for the cell shown) |
| --- | --- | --- |
| 1 | 30.99 | -15.500 |
| 2 | 22.16 | -21.386 |
| 3 | 16.61 | -58.568 |
| 4 | 24.77 | -88.797 |